Below is a relaxed PmErTh2 crystal, with properties calculated at the PBE level.

Cell: 14.5480 14.5480 3.5142 Å, 90.16 90.16 156.36°
Atoms (fractional coordinates):
Pm  0.0000  0.5000  0.0000
Pm  0.5000  0.0000  0.5000
Er  0.1484  0.8516  0.2500
Er  0.8516  0.1484  0.7500
Th  0.1993  0.3029  0.4692
Th  0.3029  0.1993  0.9692
Th  0.6971  0.8007  0.0308
Th  0.8007  0.6971  0.5308

Calculated values
ΔE to the lowest computed polymorph: 491 meV/atom
Density of states at the Fermi level: 1.96 states/eV per atom
E: -5.52 eV/atom
SG: No. 15
Calculated volume: 37.274 Å³ per atom